Entry 1:
A plane-wave DFT calculation with PBEsol was carried out for LaAsRh after structural relaxation.

Properties
Raw total energy ... -6.833 eV per atom
Formation energy from the elements ... -0.636 eV per atom

```
data_LaAsRh
_symmetry_space_group_name_H-M 'P 1'
_symmetry_Int_Tables_number 1
_cell_length_a 5.9347
_cell_length_b 5.9347
_cell_length_c 5.9347
_cell_angle_alpha 147.74
_cell_angle_beta 147.74
_cell_angle_gamma 46.26
loop_
_symmetry_equiv_pos_as_xyz
'x,y,z'
loop_
_atom_site_label
_atom_site_type_symbol
_atom_site_fract_x
_atom_site_fract_y
_atom_site_fract_z
_atom_site_occupancy
La1 La 0.0000 0.0000 0.0000 1
As1 As 0.2923 0.2923 0.0000 1
Rh1 Rh 0.6974 0.6974 0.0000 1
```

Entry 2:
A plane-wave DFT calculation with PBEsol was carried out for LaAsRu after structural relaxation.

Properties
Raw total energy ... -7.577 eV per atom
Formation energy from the elements ... -0.702 eV per atom

```
data_LaAsRu
_symmetry_space_group_name_H-M 'P 1'
_symmetry_Int_Tables_number 1
_cell_length_a 4.2097
_cell_length_b 4.2097
_cell_length_c 4.1947
_cell_angle_alpha 90.00
_cell_angle_beta 90.00
_cell_angle_gamma 120.00
loop_
_symmetry_equiv_pos_as_xyz
'x,y,z'
loop_
_atom_site_label
_atom_site_type_symbol
_atom_site_fract_x
_atom_site_fract_y
_atom_site_fract_z
_atom_site_occupancy
La1 La 0.0000 0.0000 0.0000 1
As1 As 0.6667 0.3333 0.5000 1
Ru1 Ru 0.3333 0.6667 0.5000 1
```

Entry 3:
A plane-wave DFT calculation with PBEsol was carried out for LaAs2Ru2 after structural relaxation.

Properties
Raw total energy ... -7.960 eV per atom
Formation energy from the elements ... -0.779 eV per atom

```
data_LaAs2Ru2
_symmetry_space_group_name_H-M 'P 1'
_symmetry_Int_Tables_number 1
_cell_length_a 6.0167
_cell_length_b 6.0167
_cell_length_c 6.0167
_cell_angle_alpha 139.43
_cell_angle_beta 139.43
_cell_angle_gamma 58.72
loop_
_symmetry_equiv_pos_as_xyz
'x,y,z'
loop_
_atom_site_label
_atom_site_type_symbol
_atom_site_fract_x
_atom_site_fract_y
_atom_site_fract_z
_atom_site_occupancy
La1 La 0.0000 0.0000 0.0000 1
As1 As 0.3672 0.3672 0.0000 1
As2 As 0.6328 0.6328 0.0000 1
Ru1 Ru 0.2500 0.7500 0.5000 1
Ru2 Ru 0.7500 0.2500 0.5000 1
```

Entry 4:
A plane-wave DFT calculation with PBEsol was carried out for LaAs4Ru after structural relaxation.

Properties
Raw total energy ... -5.833 eV per atom
Formation energy from the elements ... 0.158 eV per atom

```
data_LaAs4Ru
_symmetry_space_group_name_H-M 'P 1'
_symmetry_Int_Tables_number 1
_cell_length_a 5.5062
_cell_length_b 5.5062
_cell_length_c 5.5062
_cell_angle_alpha 60.00
_cell_angle_beta 60.00
_cell_angle_gamma 60.00
loop_
_symmetry_equiv_pos_as_xyz
'x,y,z'
loop_
_atom_site_label
_atom_site_type_symbol
_atom_site_fract_x
_atom_site_fract_y
_atom_site_fract_z
_atom_site_occupancy
La1 La 0.0000 0.0000 0.0000 1
As1 As 0.1307 0.6231 0.6231 1
As2 As 0.6231 0.1307 0.6231 1
As3 As 0.6231 0.6231 0.1307 1
As4 As 0.6231 0.6231 0.6231 1
Ru1 Ru 0.2500 0.2500 0.2500 1
```

Entry 5:
A plane-wave DFT calculation with PBEsol was carried out for LaAsRu after structural relaxation.

Properties
Raw total energy ... -6.999 eV per atom
Formation energy from the elements ... -0.124 eV per atom

```
data_LaAsRu
_symmetry_space_group_name_H-M 'P 1'
_symmetry_Int_Tables_number 1
_cell_length_a 4.5953
_cell_length_b 4.5953
_cell_length_c 4.5953
_cell_angle_alpha 60.00
_cell_angle_beta 60.00
_cell_angle_gamma 60.00
loop_
_symmetry_equiv_pos_as_xyz
'x,y,z'
loop_
_atom_site_label
_atom_site_type_symbol
_atom_site_fract_x
_atom_site_fract_y
_atom_site_fract_z
_atom_site_occupancy
La1 La 0.0000 0.0000 0.0000 1
As1 As 0.2500 0.2500 0.2500 1
Ru1 Ru 0.5000 0.5000 0.5000 1
```

Entry 6:
A plane-wave DFT calculation with PBEsol was carried out for LaAsRu after structural relaxation.

Properties
Raw total energy ... -6.334 eV per atom
Formation energy from the elements ... 0.541 eV per atom

```
data_LaAsRu
_symmetry_space_group_name_H-M 'P 1'
_symmetry_Int_Tables_number 1
_cell_length_a 4.6849
_cell_length_b 4.6849
_cell_length_c 4.6849
_cell_angle_alpha 60.00
_cell_angle_beta 60.00
_cell_angle_gamma 60.00
loop_
_symmetry_equiv_pos_as_xyz
'x,y,z'
loop_
_atom_site_label
_atom_site_type_symbol
_atom_site_fract_x
_atom_site_fract_y
_atom_site_fract_z
_atom_site_occupancy
La1 La 0.0000 0.0000 0.0000 1
As1 As 0.2500 0.2500 0.2500 1
Ru1 Ru 0.7500 0.7500 0.7500 1
```

no.,size of the total moment (μB/atom)
1,0.000
2,0.000
3,0.000
4,0.211
5,0.536
6,0.000